1.
# EuInPd2

Crystalline EuInPd2 at its relaxed geometry (PBE, Alexandria via LeMat-Bulk).

a = 3.4720 Å, b = 3.4720 Å, c = 6.9247 Å
α = 90.00°, β = 90.00°, γ = 90.00°
Closest atoms and distances in Å follow each position.
Space group P4/mmm (No. 123)
Symmetry-distinct sites (fractional):
Eu 0.0000 0.0000 0.0000 x1  8 Pd 3.17, 2 In 3.46, 4 Eu 3.47
In 0.0000 0.0000 0.5000 x1  8 Pd 2.85
Pd 0.5000 0.5000 0.2899 x2  4 In 2.85, 1 Pd 2.91, 4 Eu 3.17

Calculated values
Formation energy (eV/atom): -0.559
Magnetic moment (μB per atom): 1.766
Calculated density (g cm⁻³): 9.5
Raw total energy (eV per cell): -25.63

---

2.
# Hf4AlRu5

Crystalline Hf4AlRu5 at its relaxed geometry (PBE, Alexandria via LeMat-Bulk).

a = 3.2132 Å, b = 3.2132 Å, c = 15.8714 Å
α = 90.00°, β = 90.00°, γ = 90.00°
Closest atoms and distances in Å follow each position.
Space group P4/mmm (No. 123)
Symmetry-distinct sites (fractional):
Hf 0.0000 0.0000 0.1037 x2  8 Ru 2.77-2.81
Hf 0.0000 0.0000 0.3109 x2  8 Ru 2.75-2.84, 1 Al 3.00
Al 0.0000 0.0000 0.5000 x1  8 Ru 2.70, 2 Hf 3.00
Ru 0.5000 0.5000 0.0000 x1  8 Hf 2.81
Ru 0.5000 0.5000 0.2040 x2  8 Hf 2.77-2.84
Ru 0.5000 0.5000 0.4080 x2  4 Al 2.70, 4 Hf 2.75, 1 Ru 2.92

Calculated values
Formation energy (eV/atom): -0.808
Magnetic moment (μB per atom): 0.000
Calculated density (g cm⁻³): 12.6
Raw total energy (eV per cell): -98.02

---

3.
# HoScZnCo

Crystalline HoScZnCo at its relaxed geometry (PBE, Alexandria via LeMat-Bulk).

a = 6.6643 Å, b = 6.6643 Å, c = 6.6643 Å
α = 90.00°, β = 90.00°, γ = 90.00°
Closest atoms and distances in Å follow each position.
Space group F-43m (No. 216)
Symmetry-distinct sites (fractional):
Ho 0.0000 0.0000 0.0000 x4  4 Co 2.89, 4 Zn 2.89
Sc 0.0000 0.0000 0.5000 x4  4 Co 2.89, 4 Zn 2.89
Zn 0.2500 0.2500 0.2500 x4  4 Ho 2.89, 4 Sc 2.89
Co 0.2500 0.2500 0.7500 x4  4 Ho 2.89, 4 Sc 2.89

Calculated values
Formation energy (eV/atom): -0.268
Magnetic moment (μB per atom): 0.000
Calculated density (g cm⁻³): 7.5
Raw total energy (eV per cell): -81.45